Record 1
PBE-GGA ZrZnSe2, relaxed; total magnetic moment = 0.0 μB/f.u.
1.0
3.840 0.000 0.000
0.000 1.858 5.668
0.000 -1.858 5.668
Zr Zn Se
1 1 2
Cartesian
0.000 0.000 0.000
1.920 0.000 2.106
0.000 0.000 7.731
1.920 0.000 4.656

Record 2
PBE-GGA ZrZnSe, relaxed; total magnetic moment = 0.0 μB/f.u.; energy relative to the lowest polymorph listed for this composition = 0.0000 eV/atom
1.0
2.099 1.212 8.979
-2.099 1.212 8.979
0.000 -2.424 8.979
Zr Zn Se
2 2 2
Cartesian
0.000 0.000 1.705
0.000 0.000 25.233
0.000 0.000 9.051
0.000 0.000 17.887
0.000 0.000 6.067
0.000 0.000 20.872

Record 3
PBE-GGA ZrZnSe, relaxed; total magnetic moment = 0.0 μB/f.u.; energy relative to the lowest polymorph listed for this composition = 0.5766 eV/atom
1.0
0.000 3.235 3.235
3.235 0.000 3.235
3.235 3.235 0.000
Zr Zn Se
1 1 1
Cartesian
0.000 0.000 0.000
4.853 4.853 4.853
1.618 1.618 1.618

Record 4
PBE-GGA ZrZnSe3, relaxed; total magnetic moment = 0.0 μB/f.u.; energy relative to the lowest polymorph listed for this composition = 0.0000 eV/atom
1.0
5.234 0.000 0.000
0.000 5.234 0.000
0.000 0.000 5.234
Zr Zn Se
1 1 3
Cartesian
0.000 0.000 0.000
2.617 2.617 2.617
0.000 0.000 2.617
0.000 2.617 0.000
2.617 0.000 0.000

Record 5
PBE-GGA ZrSe, relaxed; total magnetic moment = 0.0 μB/f.u.
1.0
4.952 -1.737 0.000
4.952 1.737 0.000
-2.072 0.000 6.983
Zr Se
3 3
Cartesian
0.000 0.000 0.000
-0.362 0.000 4.261
2.674 0.000 1.948
2.492 0.000 4.729
5.432 0.000 2.287
5.082 0.000 6.592

Record 6
PBE-GGA ZrSe2, relaxed; total magnetic moment = 0.0 μB/f.u.
1.0
4.547 0.000 0.000
0.000 4.547 0.000
0.000 0.000 3.413
Zr Se
1 2
Cartesian
0.000 0.000 0.000
0.000 2.273 1.707
2.273 0.000 1.707

Record 7
PBE-GGA Zr3Se, relaxed; total magnetic moment = 0.0 μB/f.u.; energy relative to the lowest polymorph listed for this composition = 0.4329 eV/atom
1.0
6.061 0.000 0.000
-3.031 5.249 0.000
0.000 0.000 5.181
Zr Se
6 2
Cartesian
0.000 1.744 1.295
-1.520 4.377 1.295
1.511 0.872 3.885
1.520 4.377 1.295
4.551 0.872 3.885
3.031 3.505 3.885
0.000 3.500 3.885
3.031 1.750 1.295

Record 8
PBE-GGA Zr5Se, relaxed; total magnetic moment = 0.0 μB/f.u.
1.0
5.908 0.000 0.000
-2.954 5.116 0.000
0.000 0.000 4.958
Zr Se
5 1
Cartesian
-1.477 2.558 0.000
0.000 3.411 2.479
2.954 0.000 0.000
1.477 2.558 0.000
2.954 1.705 2.479
0.000 0.000 2.479

Energy relative to the elements, uncorrected for the records above, in order: -911; -719; -142; -306; -1156; -781; -267; 563 meV/atom